1.
A relaxed Ba2Tl2S3 crystal. Source: Alexandria via LeMat-Bulk, functional GGA-PBE.

The space group is C2/m (No. 12) and the conventional cell measures 15.2498, 4.5141 and 6.5927 Å, with angles of 90.00, 94.30 and 90.00 degrees. The asymmetric unit holds Ba at (0.1428, 0.0000, 0.1745), Tl at (0.1001, 0.5000, 0.6361), S at (0.0000, 0.5000, 0.0000) and S at (0.2137, 0.0000, 0.7469).

As for the crystal system: monoclinic. Its total magnetization is 0.000 μB per atom. The calculation puts the calculated total energy at -4.25 eV/atom. The mass density is 5.721 Mg/m³.


2.
A relaxed Ba2Tl4S5 crystal. Source: Alexandria via LeMat-Bulk, functional GGA-PBE.

The space group is R-3m (No. 166, hexagonal axes) and the conventional cell measures 4.6667, 4.6667 and 61.8692 Å, with angles of 90.00, 90.00 and 120.00 degrees. The asymmetric unit holds Ba at (0.0000, 0.0000, 0.1372), Tl at (0.0000, 0.0000, 0.3127), Tl at (0.0000, 0.0000, 0.4176), S at (0.0000, 0.0000, 0.2248), S at (0.0000, 0.0000, 0.3600) and S at (0.0000, 0.0000, 0.5000).

As for the crystal system: trigonal. Its total magnetization is 0.000 μB per atom. The calculation puts the calculated total energy at -3.94 eV/atom. The mass density is 5.347 Mg/m³.


3.
A relaxed Ba2TlS3 crystal. Source: Alexandria via LeMat-Bulk, functional GGA-PBE.

The space group is C2/c (No. 15) and the conventional cell measures 14.0757, 6.2997 and 9.0395 Å, with angles of 90.00, 108.72 and 90.00 degrees. The asymmetric unit holds Ba at (0.1666, 0.0009, 0.0833), Tl at (0.0000, 0.4806, 0.7500), S at (0.0000, 0.0268, 0.7500) and S at (0.1628, 0.4988, 0.5815).

As for the crystal system: monoclinic. Its total magnetization is 0.000 μB per atom. The calculation puts the calculated total energy at -4.48 eV/atom. The mass density is 5.033 Mg/m³.